First-principles (GGA-PBE) data for BaBeZn2 after structural relaxation, as listed in Alexandria via LeMat-Bulk.

Summary:
Space group: C2/m
ΔH_f (0 K) (kcal/mol of atoms): 15.0

Cell: 6.1303 6.1303 3.3790 Å, 76.98 76.98 120.23°
Fractional coordinates of all 4 atoms:
1 Zn 0.0000 0.0000 0.0000
2 Be 0.0000 0.5000 0.5000
3 Ba 0.5000 0.0000 0.5000
4 Zn 0.5000 0.5000 0.0000